[1]
Y3Re | Alexandria | PBE-GGA | relaxed; N(E_F) = 1.20 states/eV per atom; energy of formation = 0.326 eV/atom
1.0
-0.8258 5.0852 0.4287
-4.7193 1.7637 1.1584
-0.9119 2.0885 4.6402
Re Y
1 3
direct
0.0000 0.0000 0.0000
0.5000 0.5000 0.5000
0.2500 0.2500 0.2500
0.7500 0.7500 0.7500

[2]
Y3Re | Alexandria | PBE-GGA | relaxed; N(E_F) = 0.87 states/eV per atom; energy of formation = 0.022 eV/atom
1.0
-3.4426 0.7584 6.7612
3.6285 -7.9033 2.7340
4.9716 3.0402 2.1903
Y Re
12 4
direct
0.8262 0.5625 0.6513
0.3262 0.5625 0.8487
0.6738 0.0625 0.1513
0.3262 0.9375 0.8487
0.4597 0.7500 0.3749
0.1738 0.0625 0.3487
0.6738 0.4375 0.1513
0.5403 0.2500 0.6251
0.0403 0.2500 0.8749
0.9597 0.7500 0.1251
0.8262 0.9375 0.6513
0.1738 0.4375 0.3487
0.6191 0.7500 0.9495
0.1191 0.7500 0.5505
0.3809 0.2500 0.0505
0.8809 0.2500 0.4495

[3]
Y3Re | Alexandria | PBE-GGA | relaxed; N(E_F) = 1.19 states/eV per atom; energy of formation = 0.321 eV/atom
1.0
-1.1658 3.0646 1.0806
1.1220 -1.1226 4.3944
5.1338 4.0160 -0.2849
Y Re
3 1
direct
0.1750 0.5000 0.2173
0.5000 0.0000 0.5000
0.8250 0.5000 0.7827
0.0000 0.0000 0.0000

Results for total magnetization: 0.0; 0.0; 0.0 (in μB per formula unit, following the order of the records).
Results for VASP energy: -7.63; -7.94; -7.64 (in eV per atom, following the order of the records).